VASP calculation (GGA-PBE) on a geometry-optimized CaCuW2 structure.

Unit cell a=3.3242 b=4.4849 c=9.3226 alpha=90.00 beta=90.00 gamma=90.00
Space group Cmm2 (No. 35)
Unique sites:
Ca (0.0000, 0.0000, 0.0000) x2
Cu (0.0000, 0.5000, 0.7375) x2
W (0.0000, 0.0000, 0.5193) x2
W (0.0000, 0.5000, 0.2852) x2

Summary:
**DFT formation energy**: 0.529 eV/atom
**Final energy**: -29.89 eV/f.u.
**Energy above the most stable polymorph in this dataset**: 0.056 eV per atom



VASP calculation (GGA-PBE) on a geometry-optimized Ca2CuW structure.

Unit cell a=6.4950 b=9.1040 c=2.9231 alpha=90.00 beta=90.00 gamma=90.00
Space group Cmmm (No. 65)
Unique sites:
Ca (0.2500, 0.2500, 0.0000) x4
Cu (0.0000, 0.0000, 0.5000) x2
W (0.0000, 0.5000, 0.5000) x2

Summary:
**DFT formation energy**: 0.788 eV/atom
**Final energy**: -17.90 eV/f.u.
**Energy above the most stable polymorph in this dataset**: 0.236 eV per atom